(1)
This record from the Alexandria database describes a relaxed Dy5HgRh2 crystal. The functional is GGA-PBE.

a = 8.6572 Å, b = 8.6572 Å, c = 8.6572 Å
α = 126.96°, β = 126.96°, γ = 78.32°
Closest atoms and distances in Å follow each position.
Atoms (fractional coordinates):
Dy 0.0000 0.0000 0.0000  4 Rh 2.99
Dy 0.0246 0.5246 0.8216  3 Rh 2.85-2.96
Dy 0.2030 0.0246 0.5000  3 Rh 2.85-2.96
Dy 0.2970 0.7970 0.8216  3 Rh 2.85-2.96
Dy 0.4754 0.2970 0.5000  3 Rh 2.85-2.96
Dy 0.5000 0.5000 0.0000  4 Rh 2.99
Dy 0.5246 0.7030 0.5000  3 Rh 2.85-2.96
Dy 0.7030 0.2030 0.1784  3 Rh 2.85-2.96
Dy 0.7970 0.9754 0.5000  3 Rh 2.85-2.96
Dy 0.9754 0.4754 0.1784  3 Rh 2.85-2.96
Hg 0.2500 0.2500 0.0000  10 Dy 3.28-3.36
Hg 0.7500 0.7500 0.0000  10 Dy 3.28-3.36
Rh 0.1393 0.3607 0.5000  8 Dy 2.85-2.99, 1 Rh 3.05
Rh 0.3607 0.8607 0.2213  8 Dy 2.85-2.99, 1 Rh 3.05
Rh 0.6393 0.1393 0.7787  8 Dy 2.85-2.99, 1 Rh 3.05
Rh 0.8607 0.6393 0.5000  8 Dy 2.85-2.99, 1 Rh 3.05

Results
Final energy   -86.31 eV for the cell shown
Crystal system   tetragonal


(2)
This record from the Alexandria database describes a relaxed Y3AlAg crystal. The functional is GGA-PBE.

a = 5.4642 Å, b = 5.4642 Å, c = 5.4642 Å
α = 90.00°, β = 90.00°, γ = 90.00°
Closest atoms and distances in Å follow each position.
Atoms (fractional coordinates):
Y 0.0000 0.0000 0.5000  2 Ag 2.73
Y 0.0000 0.5000 0.0000  2 Ag 2.73
Y 0.5000 0.0000 0.0000  2 Ag 2.73
Al 0.5000 0.5000 0.5000  12 Y 3.86
Ag 0.0000 0.0000 0.0000  6 Y 2.73

Results
ΔE to the lowest computed polymorph   603 meV/atom
Crystal system   cubic


(3)
This record from the Alexandria database describes a relaxed NdUTl2O8 crystal. The functional is GGA-PBE.

a = 4.3581 Å, b = 7.2049 Å, c = 5.3967 Å
α = 90.00°, β = 91.61°, γ = 90.00°
Closest atoms and distances in Å follow each position.
Atoms (fractional coordinates):
Nd 0.0000 0.0000 0.0000  8 O 2.40-2.58
U 0.0000 0.5000 0.0000  4 O 2.04
Tl 0.5000 0.2526 0.5000  6 O 2.28-2.45
Tl 0.5000 0.7474 0.5000  6 O 2.28-2.45
O 0.0336 0.2811 0.2392  1 U 2.04
O 0.0336 0.7189 0.2392  1 U 2.04
O 0.4723 0.5000 0.7651  2 Tl 2.29, 1 U 2.45, 1 O 2.54
O 0.4832 0.0000 0.7544  2 Tl 2.28, 1 Nd 2.52
O 0.5168 0.0000 0.2456  2 Tl 2.28, 1 Nd 2.52
O 0.5277 0.5000 0.2349  2 Tl 2.29, 1 U 2.45, 1 O 2.54
O 0.9664 0.2811 0.7608  1 U 2.04
O 0.9664 0.7189 0.7608  1 U 2.04

Results
Energy relative to the elements, uncorrected   -22.6 eV/f.u.
Crystal system   monoclinic


(4)
This record from the Alexandria database describes a relaxed Cr3HgIr crystal. The functional is GGA-PBE.

a = 4.7842 Å, b = 4.7842 Å, c = 4.7842 Å
α = 90.00°, β = 90.00°, γ = 90.00°
Closest atoms and distances in Å follow each position.
Atoms (fractional coordinates):
Cr 0.0000 0.0000 0.5000  2 Ir 2.39
Cr 0.0000 0.5000 0.0000  2 Ir 2.39
Cr 0.5000 0.0000 0.0000  2 Ir 2.39
Hg 0.5000 0.5000 0.5000  12 Cr 3.38
Ir 0.0000 0.0000 0.0000  6 Cr 2.39

Results
ΔE to the lowest computed polymorph   0 meV/atom
Crystal system   cubic


(5)
This record from the Alexandria database describes a relaxed ErThAsP crystal. The functional is GGA-PBE.

a = 7.3721 Å, b = 7.3721 Å, c = 7.3721 Å
α = 32.09°, β = 32.09°, γ = 32.09°
Closest atoms and distances in Å follow each position.
Atoms (fractional coordinates):
Er 0.0000 0.0000 0.0000  3 P 2.83, 3 As 2.99
Th 0.1790 0.1790 0.1790  3 P 2.88, 3 As 3.03
As 0.7546 0.7546 0.7546  3 Er 2.99, 3 Th 3.03
P 0.5920 0.5920 0.5920  3 Er 2.83, 3 Th 2.88

Results
Final energy   -27.53 eV for the cell shown
Crystal system   trigonal


(6)
This record from the Alexandria database describes a relaxed RbU2S5 crystal. The functional is GGA-PBE.

a = 7.0315 Å, b = 7.0315 Å, c = 13.3189 Å
α = 90.00°, β = 90.00°, γ = 135.13°
Closest atoms and distances in Å follow each position.
Atoms (fractional coordinates):
Rb 0.0465 0.9535 0.7500  5 S 3.24-3.43
Rb 0.9535 0.0465 0.2500  5 S 3.24-3.43
U 0.3559 0.6441 0.5563  6 S 2.59-2.72
U 0.3559 0.6441 0.9437  6 S 2.59-2.72
U 0.6441 0.3559 0.0563  6 S 2.59-2.72
U 0.6441 0.3559 0.4437  6 S 2.59-2.72
S 0.1708 0.8292 0.0375  3 U 2.71-2.72
S 0.1708 0.8292 0.4625  3 U 2.71-2.72
S 0.3103 0.6897 0.7500  2 U 2.65
S 0.4532 0.5468 0.1137  2 U 2.59-2.60
S 0.4532 0.5468 0.3863  2 U 2.59-2.60
S 0.5468 0.4532 0.6137  2 U 2.59-2.60
S 0.5468 0.4532 0.8863  2 U 2.59-2.60
S 0.6897 0.3103 0.2500  2 U 2.65
S 0.8292 0.1708 0.5375  3 U 2.71-2.72
S 0.8292 0.1708 0.9625  3 U 2.71-2.72

Results
Energy relative to the elements, uncorrected   -10.6 eV/f.u.
Crystal system   orthorhombic


Total moment values (in μB/cell) by entry order: 0.0, 0.0, 0.0, 10.4, 0.0, 6.0.